Record 1
Density functional theory data (PBE-GGA) for an optimized crystal structure of SmAg4Ge.

Unit cell a=5.599 b=5.599 c=5.599 alpha=60.00 beta=60.00 gamma=60.00
Positions (direct):
Sm: 0.000 0.000 0.000
Ag: 0.125 0.625 0.625
Ag: 0.625 0.125 0.625
Ag: 0.625 0.625 0.125
Ag: 0.625 0.625 0.625
Ge: 0.250 0.250 0.250

Calculated values
Energy of formation from the pure elements, meV/atom: -97



Record 2
Density functional theory data (PBE-GGA) for an optimized crystal structure of Sr2LiSb3Rh4.

Unit cell a=4.366 b=4.366 c=11.234 alpha=90.00 beta=90.00 gamma=90.00
Positions (direct):
Sr: 0.000 0.500 0.240
Sr: 0.500 0.000 0.760
Li: 0.500 0.500 0.000
Sb: 0.000 0.000 0.000
Sb: 0.000 0.500 0.633
Sb: 0.500 0.000 0.367
Rh: 0.000 0.000 0.500
Rh: 0.000 0.500 0.866
Rh: 0.500 0.000 0.134
Rh: 0.500 0.500 0.500

Calculated values
ΔE_f (raw), eV/atom: -0.69



Record 3
Density functional theory data (PBE-GGA) for an optimized crystal structure of GaReBr3.

Unit cell a=5.342 b=5.342 c=5.342 alpha=90.00 beta=90.00 gamma=90.00
Positions (direct):
Ga: 0.000 0.000 0.000
Re: 0.500 0.500 0.500
Br: 0.000 0.000 0.500
Br: 0.000 0.500 0.000
Br: 0.500 0.000 0.000

Calculated values
ΔE_f (raw), eV/atom: 0.82



Record 4
Density functional theory data (PBE-GGA) for an optimized crystal structure of HoScCu.

Unit cell a=4.698 b=7.006 c=7.006 alpha=120.08 beta=90.00 gamma=90.00
Positions (direct):
Ho: 0.000 0.000 0.000
Ho: 0.000 0.192 0.596
Ho: 0.000 0.596 0.192
Sc: 0.500 0.334 0.334
Sc: 0.500 0.596 0.858
Sc: 0.500 0.858 0.596
Cu: 0.000 0.596 0.596
Cu: 0.500 0.263 0.929
Cu: 0.500 0.929 0.263

Calculated values
Energy of formation from the pure elements, meV/atom: -177



Record 5
Density functional theory data (PBE-GGA) for an optimized crystal structure of SrAg2Pd6.

Unit cell a=5.517 b=5.517 c=7.263 alpha=90.00 beta=90.00 gamma=120.00
Positions (direct):
Sr: 0.000 0.000 0.000
Ag: 0.333 0.667 0.500
Ag: 0.667 0.333 0.500
Pd: 0.000 0.500 0.186
Pd: 0.000 0.500 0.814
Pd: 0.500 0.000 0.186
Pd: 0.500 0.000 0.814
Pd: 0.500 0.500 0.186
Pd: 0.500 0.500 0.814

Calculated values
Energy of formation from the pure elements, meV/atom: 20



Record 6
Density functional theory data (PBE-GGA) for an optimized crystal structure of RbAl2ClO.

Unit cell a=4.270 b=4.270 c=8.326 alpha=90.00 beta=90.00 gamma=90.00
Positions (direct):
Rb: 0.000 0.000 0.000
Al: 0.000 0.500 0.500
Al: 0.500 0.000 0.500
Cl: 0.500 0.500 0.000
O: 0.500 0.500 0.500

Calculated values
ΔE_f (raw), eV/atom: -0.74



Record 7
Density functional theory data (PBE-GGA) for an optimized crystal structure of LaIBr2.

Unit cell a=10.581 b=10.581 c=10.581 alpha=148.40 beta=148.40 gamma=45.29
Positions (direct):
La: 0.000 0.000 0.000
La: 0.750 0.250 0.500
I: 0.250 0.750 0.500
I: 0.500 0.500 0.000
Br: 0.013 0.625 0.888
Br: 0.375 0.263 0.388
Br: 0.737 0.125 0.112
Br: 0.875 0.987 0.612

Calculated values
ΔE_f (raw), eV/atom: -1.30



Record 8
Density functional theory data (PBE-GGA) for an optimized crystal structure of ErAl9Co2.

Unit cell a=8.206 b=8.206 c=8.206 alpha=99.65 beta=99.65 gamma=131.66
Positions (direct):
Er: 0.375 0.625 0.750
Er: 0.625 0.375 0.250
Al: 0.125 0.875 0.250
Al: 0.133 0.566 0.324
Al: 0.133 0.809 0.567
Al: 0.191 0.258 0.324
Al: 0.191 0.867 0.933
Al: 0.258 0.191 0.824
Al: 0.258 0.434 0.067
Al: 0.434 0.258 0.567
Al: 0.434 0.867 0.176
Al: 0.566 0.133 0.824
Al: 0.566 0.742 0.433
Al: 0.742 0.566 0.933
Al: 0.742 0.809 0.176
Al: 0.809 0.133 0.067
Al: 0.809 0.742 0.676
Al: 0.867 0.191 0.433
Al: 0.867 0.434 0.676
Al: 0.875 0.125 0.750
Co: 0.000 0.000 0.000
Co: 0.000 0.000 0.500
Co: 0.000 0.500 0.000
Co: 0.500 0.000 0.500

Calculated values
Energy of formation from the pure elements, meV/atom: -349



Record 9
Density functional theory data (PBE-GGA) for an optimized crystal structure of KLaRu2.

Unit cell a=3.175 b=3.175 c=9.355 alpha=90.00 beta=90.00 gamma=90.00
Positions (direct):
K: 0.000 0.000 0.000
La: 0.000 0.000 0.500
Ru: 0.500 0.500 0.282
Ru: 0.500 0.500 0.718

Calculated values
Energy of formation from the pure elements, meV/atom: 867



Record 10
Density functional theory data (PBE-GGA) for an optimized crystal structure of DyP2Rh3.

Unit cell a=8.138 b=8.138 c=9.646 alpha=107.31 beta=107.31 gamma=27.53
Positions (direct):
Dy: 0.000 0.000 0.000
Dy: 0.154 0.154 0.692
Dy: 0.846 0.846 0.308
P: 0.198 0.198 0.132
P: 0.363 0.363 0.549
P: 0.460 0.460 0.221
P: 0.540 0.540 0.779
P: 0.637 0.637 0.451
P: 0.802 0.802 0.868
Rh: 0.040 0.040 0.324
Rh: 0.222 0.222 0.393
Rh: 0.322 0.322 0.046
Rh: 0.374 0.374 0.795
Rh: 0.500 0.500 0.500
Rh: 0.626 0.626 0.205
Rh: 0.678 0.678 0.954
Rh: 0.778 0.778 0.607
Rh: 0.960 0.960 0.676

Calculated values
Energy of formation from the pure elements, meV/atom: -1059



Record 11
Density functional theory data (PBE-GGA) for an optimized crystal structure of Be2Pt2W.

Unit cell a=7.017 b=7.017 c=2.665 alpha=90.00 beta=90.00 gamma=90.00
Positions (direct):
Be: 0.162 0.338 0.000
Be: 0.338 0.838 0.000
Be: 0.662 0.162 0.000
Be: 0.838 0.662 0.000
Pt: 0.138 0.638 0.500
Pt: 0.362 0.138 0.500
Pt: 0.638 0.862 0.500
Pt: 0.862 0.362 0.500
W: 0.000 0.000 0.500
W: 0.500 0.500 0.500

Calculated values
Energy of formation from the pure elements, meV/atom: -209



Record 12
Density functional theory data (PBE-GGA) for an optimized crystal structure of Tl2CrW.

Unit cell a=3.022 b=3.022 c=10.207 alpha=90.00 beta=90.00 gamma=115.14
Positions (direct):
Tl: 0.000 0.000 0.000
Tl: 0.500 0.500 0.318
Cr: 0.500 0.500 0.753
W: 0.000 0.000 0.587

Calculated values
Energy of formation from the pure elements, meV/atom: 689



Number 1: magnetic moment 0.00 μB per cell. Number 2: magnetic moment 0.00 μB per cell. Number 3: magnetic moment 5.92 μB per cell. Number 4: magnetic moment 0.00 μB per cell. Number 5: magnetic moment 0.00 μB per cell. Number 6: magnetic moment 0.00 μB per cell. Number 7: magnetic moment 0.00 μB per cell. Number 8: magnetic moment 0.00 μB per cell. Number 9: magnetic moment 2.18 μB per cell. Number 10: magnetic moment 0.00 μB per cell. Number 11: magnetic moment 0.00 μB per cell. Number 12: magnetic moment 0.00 μB per cell.